Material: Re2Pt
Method: DFT, PBE-GGA
State: relaxed

```
Re2Pt
1.0
-1.3699 1.3699 12.5343
1.3699 -1.3699 12.5343
1.3699 1.3699 -12.5343
Pt Re
2 4
direct
0.7500 0.2500 0.5000 Pt
0.0000 0.0000 0.0000 Pt
0.4185 0.4185 0.0000 Re
0.1685 0.6685 0.5000 Re
0.5815 0.5815 0.0000 Re
0.3315 0.8315 0.5000 Re
```

Results
* total moment: 0.0 μB per formula unit
* formation enthalpy at 0 K: 0.32 eV/atom
* energy above the lowest structure with this stoichiometry: 1.21 eV/f.u.

---

Material: IrRh3
Method: DFT, PBE-GGA
State: relaxed

```
IrRh3
1.0
2.7249 0.0000 0.0000
0.0000 2.7249 0.0000
0.0000 0.0000 7.6792
Rh Ir
3 1
direct
0.5000 0.5000 0.7518 Rh
0.5000 0.5000 0.2482 Rh
0.0000 0.0000 0.5000 Rh
0.0000 0.0000 0.0000 Ir
```

Results
* total moment: 0.0 μB per formula unit
* formation enthalpy at 0 K: -0.01 eV/atom

---

Material: La2VNi
Method: DFT, PBE-GGA
State: relaxed

```
La2VNi
1.0
-1.0373 -4.7098 1.8029
-4.5070 -0.9392 2.3050
-3.5259 -2.9332 -2.3394
Ni La V
1 2 1
direct
0.5000 0.5000 0.5000 Ni
0.7500 0.7500 0.7500 La
0.2500 0.2500 0.2500 La
0.0000 0.0000 0.0000 V
```

Results
* total moment: 3.6 μB per formula unit
* formation enthalpy at 0 K: 0.22 eV/atom
* energy above the lowest structure with this stoichiometry: 0.00 eV/f.u.

---

Material: Pm5Ga2Cu2
Method: DFT, PBE-GGA
State: relaxed

```
Pm5Ga2Cu2
1.0
-4.7700 6.1011 -3.2838
2.4737 -1.5521 -6.4769
-7.0734 -4.3286 2.2325
Pm Cu Ga
10 4 4
direct
0.8228 0.5234 0.7237 Pm
0.3228 0.7004 0.7237 Pm
0.5000 0.5000 0.0000 Pm
0.8228 0.7996 0.2763 Pm
0.6772 0.2996 0.2763 Pm
0.6772 0.0234 0.7237 Pm
0.1772 0.2004 0.7237 Pm
0.0000 0.0000 0.0000 Pm
0.1772 0.4766 0.2763 Pm
0.3228 0.9766 0.2763 Pm
0.1141 0.6157 0.0000 Cu
0.6141 0.8843 0.0000 Cu
0.8859 0.3843 0.0000 Cu
0.3859 0.1157 0.0000 Cu
0.0000 0.2050 0.4100 Ga
0.0000 0.7950 0.5900 Ga
0.5000 0.7050 0.4100 Ga
0.5000 0.2950 0.5900 Ga
```

Results
* total moment: 0.0 μB per formula unit
* formation enthalpy at 0 K: -0.27 eV/atom

---

Material: InCoRh3
Method: DFT, PBE-GGA
State: relaxed

```
InCoRh3
1.0
4.4896 0.0000 0.0000
0.0000 4.4896 0.0000
0.0000 0.0000 4.4896
In Rh Co
1 3 1
direct
0.5000 0.5000 0.5000 In
0.0000 0.5000 0.0000 Rh
0.5000 0.0000 0.0000 Rh
0.0000 0.0000 0.5000 Rh
0.0000 0.0000 0.0000 Co
```

Results
* total moment: 3.6 μB per formula unit
* formation enthalpy at 0 K: 0.69 eV/atom
* energy above the lowest structure with this stoichiometry: 0.00 eV/f.u.

---

Material: Pr2Nd4Ho
Method: DFT, PBE-GGA
State: relaxed

```
Pr2Nd4Ho
1.0
-2.2237 -2.8682 -0.5499
1.4028 -3.2506 -0.9695
1.5076 -7.2886 19.6703
Pr Nd Ho
2 4 1
direct
0.5721 0.5721 0.2837 Pr
0.4279 0.4279 0.7163 Pr
0.1428 0.1428 0.5715 Nd
0.8572 0.8572 0.4285 Nd
0.2871 0.2871 0.1387 Nd
0.7129 0.7129 0.8613 Nd
0.0000 0.0000 0.0000 Ho
```

Results
* total moment: 0.0 μB per formula unit
* formation enthalpy at 0 K: 0.01 eV/atom

---

Material: LiTh6Tc5
Method: DFT, PBE-GGA
State: relaxed

```
LiTh6Tc5
1.0
-0.8760 -3.8691 2.9139
4.1241 -3.2365 -7.2196
3.7250 6.2133 5.2081
Th Tc Li
6 5 1
direct
0.7455 0.9173 0.5742 Th
0.2545 0.4258 0.0827 Th
0.7543 0.2540 0.2540 Th
0.2545 0.0827 0.4258 Th
0.7455 0.5742 0.9173 Th
0.2457 0.7460 0.7460 Th
0.0000 0.3517 0.6483 Tc
0.5000 0.5000 0.5000 Tc
0.0000 0.6483 0.3517 Tc
0.5000 0.1438 0.8562 Tc
0.5000 0.8562 0.1438 Tc
0.0000 0.0000 0.0000 Li
```

Results
* total moment: 0.0 μB per formula unit
* formation enthalpy at 0 K: -0.03 eV/atom

---

Material: Hf2FeNiRu
Method: DFT, PBE-GGA
State: relaxed

```
Hf2FeNiRu
1.0
4.8880 0.0000 0.0000
0.0000 4.5032 0.0000
0.0000 0.0000 4.8880
Fe Ni Ru Hf
1 1 1 2
direct
0.0000 0.5000 0.0000 Fe
0.5000 0.5000 0.5000 Ni
0.0000 0.0000 0.0000 Ru
0.5000 0.0000 0.0000 Hf
0.0000 0.0000 0.5000 Hf
```

Results
* total moment: 2.9 μB per formula unit
* formation enthalpy at 0 K: 0.83 eV/atom

---

Material: InCoCu2
Method: DFT, PBE-GGA
State: relaxed

```
InCoCu2
1.0
8.6706 -0.0091 -0.0054
8.2108 2.7860 -0.0054
8.2108 1.3506 2.4367
In Cu Co
1 2 1
direct
0.2500 0.2500 0.2500 In
0.0078 0.0078 0.0078 Cu
0.4922 0.4922 0.4922 Cu
0.7500 0.7500 0.7500 Co
```

Results
* total moment: 1.8 μB per formula unit
* formation enthalpy at 0 K: 0.41 eV/atom

---

Material: Ti8NbRe2
Method: DFT, PBE-GGA
State: relaxed

```
Ti8NbRe2
1.0
-0.7071 3.1060 -3.1750
2.5596 -4.2750 -4.7522
-6.4457 -1.3757 3.2753
Ti Re Nb
8 2 1
direct
0.6028 0.7408 0.2057 Ti
0.3123 0.5704 0.6246 Ti
0.9463 0.6220 0.8925 Ti
0.6877 0.4296 0.3754 Ti
0.8535 0.9093 0.7070 Ti
0.0537 0.3780 0.1075 Ti
0.3972 0.2592 0.7943 Ti
0.1465 0.0907 0.2930 Ti
0.2238 0.8139 0.4476 Re
0.7762 0.1861 0.5524 Re
0.5000 0.0000 0.0000 Nb
```

Results
* total moment: 0.0 μB per formula unit
* formation enthalpy at 0 K: -0.16 eV/atom

---

Material: La7Tl4Cl4
Method: DFT, PBE-GGA
State: relaxed

```
La7Tl4Cl4
1.0
6.1445 0.0000 1.7061
3.0723 11.5664 0.8531
-0.0222 0.0000 11.9979
Cl La Tl
8 14 8
direct
0.6025 0.5000 0.7949 Cl
0.1025 0.5000 0.7949 Cl
0.8975 0.5000 0.2051 Cl
0.3975 0.5000 0.2051 Cl
0.6025 0.7949 0.5000 Cl
0.8975 0.2051 0.5000 Cl
0.3975 0.2051 0.5000 Cl
0.1025 0.7949 0.5000 Cl
0.0000 0.7226 0.2774 La
0.7226 0.2774 0.2774 La
0.2976 0.0000 0.4047 La
0.2976 0.4047 0.0000 La
0.7024 0.0000 0.5953 La
0.8902 0.6098 0.6098 La
0.7024 0.5953 0.0000 La
0.5000 0.6098 0.3902 La
0.7599 0.0000 0.0000 La
0.2774 0.7226 0.7226 La
0.2401 0.0000 0.0000 La
0.1098 0.3902 0.3902 La
0.5000 0.3902 0.6098 La
0.0000 0.2774 0.7226 La
0.5000 0.8193 0.1807 Tl
0.6807 0.8193 0.8193 Tl
0.5000 0.1807 0.8193 Tl
0.8667 0.0000 0.2665 Tl
0.1333 0.0000 0.7335 Tl
0.1333 0.7335 0.0000 Tl
0.8667 0.2665 0.0000 Tl
0.3193 0.1807 0.1807 Tl
```

Results
* formation energy without anion corrections: -0.991 eV per atom
* total moment: 0.0 μB per formula unit

---

Material: TbSc4Cu5
Method: DFT, PBE-GGA
State: relaxed

```
TbSc4Cu5
1.0
-1.1135 -2.8730 -1.1246
3.0853 -1.0360 -0.4083
0.0124 -6.1021 15.5759
Cu Sc Tb
5 4 1
direct
0.5000 0.5000 0.8846 Cu
0.5000 0.5000 0.3046 Cu
0.5000 0.5000 0.6954 Cu
0.5000 0.5000 0.1154 Cu
0.5000 0.5000 0.5000 Cu
0.0000 0.0000 0.5973 Sc
0.0000 0.0000 0.7923 Sc
0.0000 0.0000 0.2077 Sc
0.0000 0.0000 0.4027 Sc
0.0000 0.0000 0.0000 Tb
```

Results
* total moment: 0.0 μB per formula unit
* formation enthalpy at 0 K: -0.27 eV/atom

---

Material: Rb2Se3
Method: DFT, PBE-GGA
State: relaxed

```
Rb2Se3
1.0
6.8467 -0.0332 0.0000
-2.3058 6.4468 0.0000
0.0000 0.0000 8.0671
Se Rb
6 4
direct
0.2073 0.7927 0.4974 Se
0.7927 0.2073 0.9974 Se
0.5952 0.9180 0.8259 Se
0.0820 0.4048 0.8259 Se
0.4048 0.0820 0.3259 Se
0.9180 0.5952 0.3259 Se
0.4149 0.5851 0.1739 Rb
0.0981 0.9019 0.9529 Rb
0.9019 0.0981 0.4529 Rb
0.5851 0.4149 0.6739 Rb
```

Results
* formation energy without anion corrections: -0.805 eV per atom
* total moment: 0.0 μB per formula unit
* energy above the lowest structure with this stoichiometry: 0.00 eV/f.u.

---

Material: LaS2NCl
Method: DFT, PBE-GGA
State: relaxed

```
LaS2NCl
1.0
-5.6589 -1.0562 -1.3204
1.4448 -5.4162 -1.8601
-0.6425 -1.5403 3.9860
N S La Cl
1 2 1 1
direct
0.0000 0.0000 0.5000 N
0.0000 0.5000 0.0000 S
0.5000 0.0000 0.0000 S
0.0000 0.0000 0.0000 La
0.5000 0.5000 0.5000 Cl
```

Results
* formation energy without anion corrections: 0.463 eV per atom
* total moment: 4.1 μB per formula unit
* energy above the lowest structure with this stoichiometry: 3.96 eV/f.u.

---

Material: TbY6Er12
Method: DFT, PBE-GGA
State: relaxed

```
TbY6Er12
1.0
8.9389 -0.5374 -2.6430
-3.3893 8.2888 -2.6430
-0.3847 -0.5374 9.3135
Y Er Tb
6 12 1
direct
0.3244 0.3244 0.7481 Y
0.3244 0.7481 0.3244 Y
0.7481 0.3244 0.3244 Y
0.2519 0.6756 0.6756 Y
0.6756 0.6756 0.2519 Y
0.6756 0.2519 0.6756 Y
0.1085 0.8915 0.5000 Er
0.3593 0.1476 0.3593 Er
0.6407 0.6407 0.8524 Er
0.8524 0.6407 0.6407 Er
0.5000 0.1085 0.8915 Er
0.1085 0.5000 0.8915 Er
0.8915 0.1085 0.5000 Er
0.6407 0.8524 0.6407 Er
0.3593 0.3593 0.1476 Er
0.8915 0.5000 0.1085 Er
0.5000 0.8915 0.1085 Er
0.1476 0.3593 0.3593 Er
0.0000 0.0000 0.0000 Tb
```

Results
* total moment: 0.0 μB per formula unit
* formation enthalpy at 0 K: 0.46 eV/atom
* energy above the lowest structure with this stoichiometry: 0.00 eV/f.u.

---

Material: TbSm2Th3Se6
Method: DFT, PBE-GGA
State: relaxed

```
TbSm2Th3Se6
1.0
-1.1898 -1.2977 6.8422
-5.3512 -0.4994 -4.5859
3.6353 -6.2611 -1.7611
Se Th Sm Tb
6 3 2 1
direct
0.9207 0.5918 0.7611 Se
0.2471 0.2471 0.7566 Se
0.5918 0.9207 0.7611 Se
0.0793 0.4082 0.2389 Se
0.4082 0.0793 0.2389 Se
0.7529 0.7529 0.2434 Se
0.8300 0.1700 0.5000 Th
0.1700 0.8300 0.5000 Th
0.5000 0.5000 0.5000 Th
0.3342 0.6658 0.0000 Sm
0.6658 0.3342 0.0000 Sm
0.0000 0.0000 0.0000 Tb
```

Results
* formation energy without anion corrections: -1.658 eV per atom
* total moment: 0.0 μB per formula unit

---

Material: DyYRhI
Method: DFT, PBE-GGA
State: relaxed

```
DyYRhI
1.0
-1.0056 3.2573 -2.2448
-1.6298 -3.6448 -0.8476
-4.7984 0.5856 6.7111
Dy Rh I Y
1 1 1 1
direct
0.0902 0.9430 0.0485 Dy
0.3044 0.5501 0.8701 Rh
0.9679 0.3821 0.3645 I
0.5154 0.1555 0.6866 Y
```

Results
* formation energy without anion corrections: -0.924 eV per atom
* total moment: 0.0 μB per formula unit

---

Material: LaHf2HN
Method: DFT, PBE-GGA
State: relaxed

```
LaHf2HN
1.0
-2.4305 2.9168 0.9546
-2.9817 -0.6268 -5.6765
-2.4771 -2.5833 1.5864
Hf H La N
2 1 1 1
direct
0.5000 0.0000 0.0000 Hf
0.0000 0.0000 0.5000 Hf
0.0000 0.0000 0.0000 H
0.5000 0.5000 0.5000 La
0.0000 0.5000 0.0000 N
```

Results
* total moment: 0.0 μB per formula unit
* E_tot: -6.887 eV per atom

---

Material: CaLa2Cd
Method: DFT, PBE-GGA
State: relaxed

```
CaLa2Cd
1.0
-0.7430 3.7020 -0.1469
-2.2540 -0.5706 -2.9786
-7.4124 -1.2555 5.8497
La Ca Cd
2 1 1
direct
0.0000 0.0000 0.9714 La
0.5000 0.5000 0.2370 La
0.0000 0.0000 0.5426 Ca
0.5000 0.5000 0.7490 Cd
```

Results
* total moment: 0.0 μB per formula unit
* formation enthalpy at 0 K: -0.15 eV/atom

---

Material: Y4Er3
Method: DFT, PBE-GGA
State: relaxed

```
Y4Er3
1.0
-5.5313 -0.6286 1.8534
-2.7876 -0.6240 -8.5307
3.9399 -3.7337 1.2049
Y Er
4 3
direct
0.8583 0.5747 0.7167 Y
0.7135 0.1420 0.4270 Y
0.2865 0.8580 0.5730 Y
0.1417 0.4253 0.2833 Y
0.0000 0.0000 0.0000 Er
0.4288 0.2871 0.8575 Er
0.5712 0.7130 0.1425 Er
```

Results
* total moment: 0.0 μB per formula unit
* formation enthalpy at 0 K: 0.13 eV/atom
* energy above the lowest structure with this stoichiometry: 0.70 eV/f.u.